1:
This record from the Alexandria database describes a relaxed LaY2InRu crystal. The functional is PBE-GGA.

Cell and atoms, written as POSCAR:
```
LaY2InRu
1.0
-1.6928 2.9833 4.1683
-2.1407 -4.4001 2.2798
4.5427 -0.9150 2.4996
Y In La Ru
2 1 1 1
direct
0.0000 0.5000 0.0000 Y
0.5000 0.0000 0.0000 Y
0.5000 0.5000 0.5000 In
0.0000 0.0000 0.5000 La
0.0000 0.0000 0.0000 Ru
```

Computed properties:
magnetic moment = 0.000 μB/f.u.
Fermi-level density of states = 4.363 states/eV/cell

***

2:
This record from the Alexandria database describes a relaxed LaY2InRu crystal. The functional is PBE-GGA.

Cell and atoms, written as POSCAR:
```
LaY2InRu
1.0
-3.1153 -3.5721 -2.7827
0.8242 -3.7686 3.9150
-4.5395 1.8370 2.7240
Ru Y In La
1 2 1 1
direct
0.0000 0.0000 0.0000 Ru
0.0000 0.5000 0.0000 Y
0.5000 0.0000 0.0000 Y
0.0000 0.0000 0.5000 In
0.5000 0.5000 0.5000 La
```

Computed properties:
magnetic moment = 0.000 μB/f.u.
Fermi-level density of states = 4.370 states/eV/cell

***

Which structure is most stable? 1, by 0.134 eV/atom over the runner-up.

***

1:
This record from the Alexandria database describes a relaxed La2ZnInRu crystal. The functional is PBE-GGA.

Cell and atoms, written as POSCAR:
```
La2ZnInRu
1.0
5.3936 0.0000 0.0000
0.0000 5.3936 0.0000
0.0000 0.0000 5.2539
La Ru In Zn
2 1 1 1
direct
0.0000 0.5000 0.0000 La
0.5000 0.0000 0.0000 La
0.0000 0.0000 0.0000 Ru
0.0000 0.0000 0.5000 In
0.5000 0.5000 0.5000 Zn
```

Computed properties:
magnetic moment = 0.000 μB/f.u.
Fermi-level density of states = 4.155 states/eV/cell

***

2:
This record from the Alexandria database describes a relaxed La2ZnInRu crystal. The functional is PBE-GGA.

Cell and atoms, written as POSCAR:
```
La2ZnInRu
1.0
-0.4782 0.8268 5.2585
3.6969 -3.7471 0.9253
3.5850 3.4823 -0.2216
In La Zn Ru
1 2 1 1
direct
0.5000 0.5000 0.5000 In
0.5000 0.0000 0.0000 La
0.0000 0.5000 0.0000 La
0.0000 0.0000 0.5000 Zn
0.0000 0.0000 0.0000 Ru
```

Computed properties:
magnetic moment = 0.000 μB/f.u.
Fermi-level density of states = 5.450 states/eV/cell

***

Which structure is most stable? 2, by 0.033 eV/atom over the runner-up.